The following is a GGA-PBE calculation of SiBAs3 after structural relaxation, from Alexandria.

Its total energy is -18.78 eV for the cell shown. For the energy relative to the elements, uncorrected, the calculation gives 1.45 eV/atom.

It has space group Pm-3m (No. 221), with a = 4.743 Å, b = 4.743 Å, c = 4.743 Å, α = 90.00°, β = 90.00° and γ = 90.00°. The distinct sites, in fractional coordinates, are Si at (0.000, 0.000, 0.000), B at (0.500, 0.500, 0.500) and As at (0.000, 0.000, 0.500).